Record 1
A relaxed NpBiAuO6 crystal, computed with PBE-GGA.

## Properties
Uncorrected formation energy = -1399 meV/atom
V = 271 Å³ per cell

abc: 5.8596 5.8596 9.1057
angles: 90.00 90.00 120.00
Space group P-31c (No. 163)
Unique sites:
1 Np 0.3333 0.6667 0.2500 (multiplicity 2)
2 Bi 0.3333 0.6667 0.7500 (multiplicity 2)
3 Au 0.0000 0.0000 0.0000 (multiplicity 2)
4 O 0.0414 0.3726 0.1293 (multiplicity 12)

=====

Record 2
A relaxed ErZnH8Ru2 crystal, computed with PBE-GGA.

## Properties
Electronic total energy = -50.09 eV/cell
V = 118 Å³ per cell

abc: 4.5845 4.5845 6.4734
angles: 90.00 90.00 120.00
Space group P-3m1 (No. 164)
Unique sites:
1 Er 0.0000 0.0000 0.0000 (multiplicity 1)
2 Zn 0.0000 0.0000 0.5000 (multiplicity 1)
3 H 0.1396 0.2791 0.2734 (multiplicity 6)
4 H 0.3333 0.6667 0.0841 (multiplicity 2)
5 Ru 0.3333 0.6667 0.3373 (multiplicity 2)

=====

What is the V in the first record? 271 Å³ per cell